(1)
Here is an optimized crystal structure of Cr2InCu from Alexandria via LeMat-Bulk. Energies are from GGA-PBE.

Structure (POSCAR):
```
Cr2InCu
1.0
3.067 0.000 0.000
0.000 3.067 0.000
0.000 0.000 6.310
Cr In Cu
2 1 1
Direct
0.000 0.000 0.000
0.500 0.500 0.173
0.500 0.500 0.690
0.000 0.000 0.419
```

Calculated values
DOS at the Fermi energy ... 0.58 states/eV per atom
Space group ... No. 99
Density ... 7.9 g/cm³
Total energy ... -6.31 eV per atom
Formation energy ... 0.215 eV/atom

(2)
Here is an optimized crystal structure of Ti2Ag2Pb from Alexandria via LeMat-Bulk. Energies are from GGA-PBE.

Structure (POSCAR):
```
Ti2Ag2Pb
1.0
-1.912 1.912 7.174
1.912 -1.912 7.174
1.912 1.912 -7.174
Ti Ag Pb
2 2 1
Direct
0.250 0.750 0.500
0.750 0.250 0.500
0.104 0.104 0.000
0.896 0.896 0.000
0.500 0.500 0.000
```

Calculated values
DOS at the Fermi energy ... 1.52 states/eV per atom
Space group ... No. 139
Density ... 8.2 g/cm³
Total energy ... -4.72 eV per atom
Formation energy ... 0.318 eV/atom

(3)
Here is an optimized crystal structure of CdB from Alexandria via LeMat-Bulk. Energies are from GGA-PBE.

Structure (POSCAR):
```
CdB
1.0
6.725 0.000 0.000
0.000 6.725 0.000
0.000 0.000 3.226
Cd B
4 4
Direct
0.242 0.242 0.000
0.258 0.742 0.500
0.742 0.258 0.500
0.758 0.758 0.000
0.083 0.917 0.000
0.417 0.417 0.500
0.583 0.583 0.500
0.917 0.083 0.000
```

Calculated values
DOS at the Fermi energy ... 0.40 states/eV per atom
Space group ... No. 136
Density ... 5.6 g/cm³
Total energy ... -2.99 eV per atom
Formation energy ... 0.802 eV/atom

(4)
Here is an optimized crystal structure of HoSn3S6 from Alexandria via LeMat-Bulk. Energies are from GGA-PBE.

Structure (POSCAR):
```
HoSn3S6
1.0
11.289 0.000 0.000
0.000 3.857 0.000
-4.977 0.000 11.192
Ho Sn S
2 6 12
Direct
0.212 0.250 0.060
0.788 0.750 0.940
0.039 0.750 0.259
0.345 0.250 0.477
0.383 0.750 0.844
0.617 0.250 0.156
0.655 0.750 0.523
0.961 0.250 0.741
0.026 0.750 0.913
0.086 0.250 0.412
0.215 0.250 0.821
0.249 0.750 0.236
0.392 0.750 0.632
0.404 0.750 0.071
0.596 0.250 0.929
0.608 0.250 0.368
0.751 0.250 0.764
0.785 0.750 0.179
0.914 0.750 0.588
0.974 0.250 0.087
```

Calculated values
DOS at the Fermi energy ... 0.25 states/eV per atom
ΔE_f (raw) ... -748 meV per atom
Space group ... No. 11
Density ... 4.9 g/cm³
Total energy ... -4.88 eV per atom

Which of these has the lowest density?
HoSn3S6